[1]
Ba4SiNi | PBE | relaxed

Output
Its total energy is -2.269 eV/atom. The raw formation energy is 880 meV per atom. As for the space group: F-43m, No. 216.

abc: 6.9149 6.9149 6.9149
angles: 60.00 60.00 60.00
Last column: nearest neighbours and their distance in Å.
Fractional coordinates of all 6 atoms:
1 Ba 0.3746 0.3746 0.8761  6 Ba 3.45-3.47
2 Ba 0.3746 0.8761 0.3746  6 Ba 3.45-3.47
3 Ba 0.8761 0.3746 0.3746  6 Ba 3.45-3.47
4 Ba 0.3746 0.3746 0.3746  6 Ba 3.45-3.47
5 Ni 0.7500 0.7500 0.7500  12 Ba 4.06, 4 Si 4.23
6 Si 0.0000 0.0000 0.0000  12 Ba 4.05, 4 Ni 4.23

[2]
BaSi4Ni | PBE | relaxed

Output
Its total energy is -4.476 eV/atom. The raw formation energy is 423 meV per atom. As for the space group: F-43m, No. 216.

abc: 5.4420 5.4420 5.4420
angles: 60.00 60.00 60.00
Last column: nearest neighbours and their distance in Å.
Fractional coordinates of all 6 atoms:
1 Ba 0.7500 0.7500 0.7500  12 Si 3.20, 4 Ni 3.33
2 Ni 0.0000 0.0000 0.0000  12 Si 3.18, 4 Ba 3.33
3 Si 0.3703 0.3703 0.3703  6 Si 2.62-2.82
4 Si 0.3703 0.8891 0.3703  6 Si 2.62-2.82
5 Si 0.8891 0.3703 0.3703  6 Si 2.62-2.82
6 Si 0.3703 0.3703 0.8891  6 Si 2.62-2.82

[3]
BaSi3Ni | PBE | relaxed

Output
Its total energy is -2.500 eV/atom. The raw formation energy is 2295 meV per atom. As for the space group: Pm-3m, No. 221.

abc: 5.5207 5.5207 5.5207
angles: 90.00 90.00 90.00
Last column: nearest neighbours and their distance in Å.
Fractional coordinates of all 5 atoms:
1 Si 0.0000 0.5000 0.0000  2 Ba 2.76
2 Si 0.5000 0.0000 0.0000  2 Ba 2.76
3 Si 0.0000 0.0000 0.5000  2 Ba 2.76
4 Ba 0.0000 0.0000 0.0000  6 Si 2.76
5 Ni 0.5000 0.5000 0.5000  12 Si 3.90

[4]
Ba2SiNi | PBE | relaxed

Output
Its total energy is -3.662 eV/atom. The raw formation energy is 100 meV per atom. As for the space group: P4mm, No. 99.

abc: 3.4938 3.4938 9.6060
angles: 90.00 90.00 89.93
Last column: nearest neighbours and their distance in Å.
Fractional coordinates of all 4 atoms:
1 Ba 0.5000 0.5000 0.3343  1 Si 3.16, 4 Ba 3.49, 4 Ni 3.50
2 Ba 0.0000 0.0000 0.9102  1 Ni 3.05
3 Ni 0.0000 0.0000 0.5924  4 Si 2.56
4 Si 0.5000 0.5000 0.6631  4 Ni 2.56